VASP calculation (GGA-PBE) on a relaxed structure of MnCuIr.

Properties
Offset from the most stable computed form   0 kJ/mol of formula units
E_form   0.006 eV/atom
M_tot   0.8991 μB per atom
Calculated volume   13.119 Å³ per atom
Calculated density   13.11 g cm⁻³
Symmetry   Imm2, No. 44

Structure (CIF):
```
data_MnCuIr
_space_group_name_H-M_alt 'P 1'
_space_group_IT_number 1
_space_group_name_Hall 'P 1'
_cell_length_a 4.568
_cell_length_b 4.568
_cell_length_c 4.568
_cell_angle_alpha 144.80
_cell_angle_beta 133.70
_cell_angle_gamma 59.47
loop_
_atom_site_label
_atom_site_fract_x
_atom_site_fract_y
_atom_site_fract_z
_atom_site_occupancy
Cu1 0.001 0.001 0.000 1
Ir1 0.330 0.330 0.000 1
Mn1 0.669 0.669 0.000 1
```


VASP calculation (GGA-PBE) on a relaxed structure of CaLaY2.

Properties
Offset from the most stable computed form   30 kJ/mol of formula units
E_form   0.134 eV/atom
M_tot   0.0001 μB per atom
Calculated volume   35.501 Å³ per atom
Calculated density   4.17 g cm⁻³
Symmetry   Cmmm, No. 65

Structure (CIF):
```
data_CaLaY2
_space_group_name_H-M_alt 'P 1'
_space_group_IT_number 1
_space_group_name_Hall 'P 1'
_cell_length_a 3.561
_cell_length_b 3.561
_cell_length_c 12.371
_cell_angle_alpha 90.00
_cell_angle_beta 90.00
_cell_angle_gamma 115.13
loop_
_atom_site_label
_atom_site_fract_x
_atom_site_fract_y
_atom_site_fract_z
_atom_site_occupancy
Y1 0.000 0.000 0.996 1
Y2 0.000 0.000 0.504 1
Ca1 0.500 0.500 0.250 1
La1 0.500 0.500 0.750 1
```


VASP calculation (GGA-PBE) on a relaxed structure of ErZnGeRh.

Properties
E_form   -0.556 eV/atom
M_tot   0.0000 μB per atom
Calculated volume   17.096 Å³ per atom
Calculated density   9.91 g cm⁻³
Symmetry   F-43m, No. 216

Structure (CIF):
```
data_ErZnGeRh
_space_group_name_H-M_alt 'P 1'
_space_group_IT_number 1
_space_group_name_Hall 'P 1'
_cell_length_a 4.590
_cell_length_b 4.590
_cell_length_c 4.590
_cell_angle_alpha 60.00
_cell_angle_beta 60.00
_cell_angle_gamma 60.00
loop_
_atom_site_label
_atom_site_fract_x
_atom_site_fract_y
_atom_site_fract_z
_atom_site_occupancy
Ge1 0.500 0.500 0.500 1
Rh1 0.750 0.750 0.750 1
Zn1 0.000 0.000 0.000 1
Er1 0.250 0.250 0.250 1
```


VASP calculation (GGA-PBE) on a relaxed structure of NbGe3Cl.

Properties
Offset from the most stable computed form   0 kJ/mol of formula units
M_tot   0.0000 μB per atom
Calculated volume   25.831 Å³ per atom
Calculated density   4.45 g cm⁻³
Formation energy from raw total energies   294 meV/atom
Symmetry   Pm-3m, No. 221

Structure (CIF):
```
data_NbGe3Cl
_space_group_name_H-M_alt 'P 1'
_space_group_IT_number 1
_space_group_name_Hall 'P 1'
_cell_length_a 5.055
_cell_length_b 5.055
_cell_length_c 5.055
_cell_angle_alpha 90.00
_cell_angle_beta 90.00
_cell_angle_gamma 90.00
loop_
_atom_site_label
_atom_site_fract_x
_atom_site_fract_y
_atom_site_fract_z
_atom_site_occupancy
Nb1 0.000 0.000 0.000 1
Ge1 0.000 0.500 0.000 1
Ge2 0.000 0.000 0.500 1
Ge3 0.500 0.000 0.000 1
Cl1 0.500 0.500 0.500 1
```


VASP calculation (GGA-PBE) on a relaxed structure of Si2SbMo.

Properties
M_tot   0.0000 μB per atom
Calculated volume   17.589 Å³ per atom
Calculated density   6.46 g cm⁻³
Formation energy from raw total energies   101 meV/atom
Symmetry   Pm, No. 6

Structure (CIF):
```
data_Si2SbMo
_space_group_name_H-M_alt 'P 1'
_space_group_IT_number 1
_space_group_name_Hall 'P 1'
_cell_length_a 4.230
_cell_length_b 3.495
_cell_length_c 5.070
_cell_angle_alpha 69.83
_cell_angle_beta 90.00
_cell_angle_gamma 90.00
loop_
_atom_site_label
_atom_site_fract_x
_atom_site_fract_y
_atom_site_fract_z
_atom_site_occupancy
Mo1 0.000 0.312 0.500 1
Sb1 0.500 0.719 0.688 1
Si1 0.000 0.015 0.094 1
Si2 0.500 0.454 0.218 1
```


VASP calculation (GGA-PBE) on a relaxed structure of Sr4Nd3AgS8.

Properties
M_tot   0.0000 μB per atom
Calculated volume   25.471 Å³ per atom
Calculated density   4.68 g cm⁻³
Formation energy from raw total energies   -1863 meV/atom
Symmetry   R-3m, No. 166

Structure (CIF):
```
data_Sr4Nd3AgS8
_space_group_name_H-M_alt 'P 1'
_space_group_IT_number 1
_space_group_name_Hall 'P 1'
_cell_length_a 8.298
_cell_length_b 8.346
_cell_length_c 8.299
_cell_angle_alpha 119.81
_cell_angle_beta 120.00
_cell_angle_gamma 90.00
loop_
_atom_site_label
_atom_site_fract_x
_atom_site_fract_y
_atom_site_fract_z
_atom_site_occupancy
Sr1 0.500 0.000 0.000 1
Sr2 0.500 0.000 0.500 1
Sr3 0.000 0.000 0.000 1
Sr4 0.000 0.000 0.500 1
Nd1 0.500 0.500 0.000 1
Nd2 0.500 0.500 0.500 1
Nd3 0.000 0.500 0.500 1
Ag1 0.000 0.500 0.000 1
S1 0.248 0.739 0.991 1
S2 0.248 0.739 0.496 1
S3 0.254 0.261 0.507 1
S4 0.742 0.739 0.991 1
S5 0.258 0.261 0.009 1
S6 0.746 0.739 0.493 1
S7 0.752 0.261 0.504 1
S8 0.752 0.261 0.009 1
```


VASP calculation (GGA-PBE) on a relaxed structure of Ba2NaFe6As6.

Properties
E_form   -0.451 eV/atom
M_tot   0.0500 μB per atom
Calculated volume   19.597 Å³ per atom
Calculated density   6.11 g cm⁻³
Symmetry   C2/m, No. 12

Structure (CIF):
```
data_Ba2NaFe6As6
_space_group_name_H-M_alt 'P 1'
_space_group_IT_number 1
_space_group_name_Hall 'P 1'
_cell_length_a 5.394
_cell_length_b 7.120
_cell_length_c 8.729
_cell_angle_alpha 111.63
_cell_angle_beta 72.00
_cell_angle_gamma 90.00
loop_
_atom_site_label
_atom_site_fract_x
_atom_site_fract_y
_atom_site_fract_z
_atom_site_occupancy
Ba1 0.339 0.999 0.322 1
Ba2 0.661 0.001 0.678 1
Na1 0.000 0.000 0.000 1
Fe1 0.251 0.500 0.000 1
Fe2 0.916 0.499 0.666 1
Fe3 0.582 0.501 0.334 1
Fe4 0.418 0.499 0.666 1
Fe5 0.084 0.501 0.334 1
Fe6 0.749 0.500 0.000 1
As1 0.118 0.296 0.765 1
As2 0.784 0.300 0.432 1
As3 0.450 0.295 0.101 1
As4 0.550 0.705 0.899 1
As5 0.216 0.700 0.568 1
As6 0.882 0.704 0.235 1
```


VASP calculation (GGA-PBE) on a relaxed structure of Er2SiNi6Ge.

Properties
M_tot   0.0000 μB per atom
Calculated volume   15.572 Å³ per atom
Calculated density   8.40 g cm⁻³
Formation energy from raw total energies   -408 meV/atom
Symmetry   P-1, No. 2

Structure (CIF):
```
data_Er2SiNi6Ge
_space_group_name_H-M_alt 'P 1'
_space_group_IT_number 1
_space_group_name_Hall 'P 1'
_cell_length_a 6.072
_cell_length_b 6.099
_cell_length_c 6.033
_cell_angle_alpha 60.96
_cell_angle_beta 57.79
_cell_angle_gamma 89.38
loop_
_atom_site_label
_atom_site_fract_x
_atom_site_fract_y
_atom_site_fract_z
_atom_site_occupancy
Er1 0.702 0.293 0.582 1
Er2 0.298 0.707 0.418 1
Si1 0.000 0.000 0.000 1
Ni1 0.169 0.124 0.502 1
Ni2 0.858 0.673 0.970 1
Ni3 0.321 0.818 0.812 1
Ni4 0.679 0.182 0.188 1
Ni5 0.142 0.327 0.030 1
Ni6 0.831 0.876 0.498 1
Ge1 0.500 0.500 0.000 1
```